Record 1
This record from the Alexandria database describes a relaxed structure of CrPW3. The functional is PBE-GGA.

Structure (extended XYZ):
```
5
Lattice="-1.101 -3.552 -2.542 -0.199 -2.579 3.689 -4.364 1.014 0.474" Properties=species:S:1:pos:R:3 pbc="T T T"
Cr 0.000 0.000 0.000
P -2.832 -2.559 0.810
W -0.099 -1.289 1.844
W -0.551 -1.776 -1.271
W -2.182 0.507 0.237
```

Summary:
V, Å³/cell: 91.44
Distance to the lowest polymorph of the same formula, eV/atom: 0.725

Record 2
This record from the Alexandria database describes a relaxed structure of Cr2PW. The functional is PBE-GGA.

Structure (extended XYZ):
```
4
Lattice="-2.148 0.884 3.394 -1.934 -1.871 -0.737 1.449 -3.972 1.951" Properties=species:S:1:pos:R:3 pbc="T T T"
Cr 0.028 -0.151 0.057
P 0.064 -2.547 0.704
Cr -1.386 -1.150 1.914
W -1.580 -4.033 2.542
```

Summary:
V, Å³/cell: 51.79

Number 1: DFT total energy -45.15 eV per formula unit, calculated formation energy 1.7476 eV per atom. Number 2: DFT total energy -37.54 eV per formula unit, calculated formation energy 0.0176 eV per atom.